PmAu3, relaxed, DFT PBE; E = -4.302 eV/atom; space group = P6_3/mmc, No. 194; M_tot = 0.00 Bohr magnetons per cell
1.0
6.417 0.000 0.000
-3.209 5.558 0.000
0.000 0.000 4.854
Pm Au
2 6
Direct
0.333 0.667 0.250
0.667 0.333 0.750
0.157 0.315 0.750
0.157 0.843 0.750
0.315 0.157 0.250
0.685 0.843 0.750
0.843 0.157 0.250
0.843 0.685 0.250